<one>
CaMg2Re, PBEsol geometry, DFT meta-GGA SCAN; D(E_F) = 2.28 states/eV/cell
1.0
2.966 0.000 0.000
0.000 5.152 0.000
0.000 0.000 5.234
Mg Ca Re
2 1 1
Cartesian
0.000 0.000 0.000 Mg
1.483 2.576 0.000 Mg
0.000 2.576 2.617 Ca
1.483 0.000 2.617 Re

<two>
CaMg2Re, PBEsol geometry, DFT meta-GGA SCAN; D(E_F) = 2.74 states/eV/cell
1.0
-0.089 2.118 3.446
2.845 -2.863 1.833
3.398 2.464 -1.426
Ca Mg Re
1 2 1
Cartesian
-0.045 1.059 1.723 Ca
1.699 1.232 -0.713 Mg
1.423 -1.431 0.917 Mg
3.077 0.859 1.926 Re

What should be chosen as the most stable of them? Choose <two>.